1.
Entry from Alexandria via LeMat-Bulk: an optimized crystal structure of TaCrSbI2 (PBE).

a b c (Å): 5.271 5.271 5.331
angles (deg): 90.00 90.00 90.00
Each line ends with the local moment (μB).
Element x y z (fractional)
I 0.000 0.500 0.000  -0.08
I 0.500 0.000 0.000  -0.08
Sb 0.000 0.000 0.500  -0.26
Cr 0.000 0.000 0.000  3.26
Ta 0.500 0.500 0.500  2.03

Results
The value obtained for the energy above the most stable polymorph in this dataset is 370 meV/atom. As for the uncorrected energy: -4.566 eV per atom.

=====

2.
Entry from Alexandria via LeMat-Bulk: an optimized crystal structure of CrTcSbI2 (PBE).

a b c (Å): 5.349 5.349 5.141
angles (deg): 90.00 90.00 90.00
Each line ends with the local moment (μB).
Element x y z (fractional)
I 0.000 0.500 0.000  0.06
I 0.500 0.000 0.000  0.06
Sb 0.000 0.000 0.500  -0.08
Tc 0.500 0.500 0.500  3.78
Cr 0.000 0.000 0.000  -0.01

Results
The value obtained for the energy above the most stable polymorph in this dataset is 0 meV/atom. As for the uncorrected energy: -4.147 eV per atom.

=====

3.
Entry from Alexandria via LeMat-Bulk: an optimized crystal structure of CrTcSbI2 (PBE).

a b c (Å): 5.491 5.491 5.064
angles (deg): 90.00 90.00 90.00
Each line ends with the local moment (μB).
Element x y z (fractional)
I 0.000 0.500 0.000  0.01
I 0.500 0.000 0.000  0.01
Sb 0.000 0.000 0.500  -0.04
Tc 0.000 0.000 0.000  0.82
Cr 0.500 0.500 0.500  -0.50

Results
The value obtained for the energy above the most stable polymorph in this dataset is 168 meV/atom. As for the uncorrected energy: -3.979 eV per atom.

=====

4.
Entry from Alexandria via LeMat-Bulk: an optimized crystal structure of TlCrSb2I (PBE).

a b c (Å): 5.092 5.092 6.147
angles (deg): 90.00 90.00 90.00
Each line ends with the local moment (μB).
Element x y z (fractional)
I 0.000 0.000 0.500  -0.11
Sb 0.000 0.500 0.000  -0.21
Sb 0.500 0.000 0.000  -0.21
Tl 0.500 0.500 0.500  0.00
Cr 0.000 0.000 0.000  2.57

Results
The value obtained for the energy above the most stable polymorph in this dataset is 0 meV/atom. As for the uncorrected energy: -4.171 eV per atom.

=====

5.
Entry from Alexandria via LeMat-Bulk: an optimized crystal structure of TlCrSb2I (PBE).

a b c (Å): 5.684 5.684 6.239
angles (deg): 90.00 90.00 90.00
Each line ends with the local moment (μB).
Element x y z (fractional)
I 0.000 0.000 0.500  -0.10
Sb 0.000 0.500 0.000  -0.24
Sb 0.500 0.000 0.000  -0.24
Tl 0.000 0.000 0.000  0.00
Cr 0.500 0.500 0.500  4.31

Results
The value obtained for the energy above the most stable polymorph in this dataset is 876 meV/atom. As for the uncorrected energy: -3.295 eV per atom.

=====

6.
Entry from Alexandria via LeMat-Bulk: an optimized crystal structure of TlCrSbI2 (PBE).

a b c (Å): 5.755 5.755 5.206
angles (deg): 90.00 90.00 90.00
Each line ends with the local moment (μB).
Element x y z (fractional)
I 0.000 0.500 0.000  -0.06
I 0.500 0.000 0.000  -0.06
Sb 0.000 0.000 0.500  -0.42
Tl 0.500 0.500 0.500  -0.01
Cr 0.000 0.000 0.000  3.25

Results
The value obtained for the energy above the most stable polymorph in this dataset is 0 meV/atom. As for the uncorrected energy: -3.830 eV per atom.

=====

7.
Entry from Alexandria via LeMat-Bulk: an optimized crystal structure of VCrSb2I (PBE).

a b c (Å): 5.053 5.053 5.887
angles (deg): 90.00 90.00 90.00
Each line ends with the local moment (μB).
Element x y z (fractional)
I 0.000 0.000 0.500  -0.08
Sb 0.000 0.500 0.000  -0.15
Sb 0.500 0.000 0.000  -0.15
V 0.000 0.000 0.000  1.32
Cr 0.500 0.500 0.500  4.26

Results
The value obtained for the energy above the most stable polymorph in this dataset is 0 meV/atom. As for the uncorrected energy: -5.045 eV per atom.

=====

8.
Entry from Alexandria via LeMat-Bulk: an optimized crystal structure of VCrSb2I (PBE).

a b c (Å): 5.055 5.055 5.486
angles (deg): 90.00 90.00 90.00
Each line ends with the local moment (μB).
Element x y z (fractional)
I 0.000 0.000 0.500  0.01
Sb 0.000 0.500 0.000  -0.08
Sb 0.500 0.000 0.000  -0.08
V 0.500 0.500 0.500  -0.42
Cr 0.000 0.000 0.000  2.67

Results
The value obtained for the energy above the most stable polymorph in this dataset is 395 meV/atom. As for the uncorrected energy: -4.650 eV per atom.

=====

> The highest energy above the most stable polymorph in this dataset belongs to which entry?

number 5

=====

What did the fourth record say?
Entry from Alexandria via LeMat-Bulk: an optimized crystal structure of TlCrSb2I (PBE).

a b c (Å): 5.092 5.092 6.147
angles (deg): 90.00 90.00 90.00
Each line ends with the local moment (μB).
Element x y z (fractional)
I 0.000 0.000 0.500  -0.11
Sb 0.000 0.500 0.000  -0.21
Sb 0.500 0.000 0.000  -0.21
Tl 0.500 0.500 0.500  0.00
Cr 0.000 0.000 0.000  2.57

Results
The value obtained for the energy above the most stable polymorph in this dataset is 0 meV/atom. As for the uncorrected energy: -4.171 eV per atom.

=====

> The highest energy above the most stable polymorph in this dataset belongs to which entry?

number 5